# 1
{
  "formula": "CeTlGaHg",
  "functional": "PBE",
  "state": "relaxed",
  "cell": [[5.2081, 0.0000, 0.0000], [2.6040, 4.5103, 0.0000], [2.6040, 1.5034, 4.2524]],
  "species": ["Tl", "Ga", "Hg", "Ce"],
  "frac_coords": [[0.5000, 0.5000, 0.5000], [0.7500, 0.7500, 0.7500], [0.2500, 0.2500, 0.2500], [0.0000, 0.0000, 0.0000]],
  "ef_ev_per_atom": -0.228
}

---

# 2
{
  "formula": "Ac2Mn2Te2S3",
  "functional": "PBE",
  "state": "relaxed",
  "cell": [[-0.6223, 4.6729, -1.1832], [1.1505, -1.0146, -4.6119], [-10.0962, -3.6577, 0.8470]],
  "species": ["Ac", "Ac", "Mn", "Mn", "Te", "Te", "S", "S", "S"],
  "frac_coords": [[0.1722, 0.1722, 0.3444], [0.8278, 0.8278, 0.6556], [0.5000, 0.0000, 0.0000], [0.0000, 0.5000, 0.0000], [0.5942, 0.5942, 0.1883], [0.4058, 0.4058, 0.8117], [0.0000, 0.0000, 0.0000], [0.2500, 0.7500, 0.5000], [0.7500, 0.2500, 0.5000]],
  "energy_ev_per_cell": -55.8
}

---

# 3
{
  "formula": "CeDy2Zr",
  "functional": "PBE",
  "state": "relaxed",
  "cell": [[3.4079, 0.0000, 0.0000], [1.7040, 2.9514, 0.0000], [1.7040, 0.9838, 11.3014]],
  "species": ["Ce", "Dy", "Dy", "Zr"],
  "frac_coords": [[0.5004, 0.5004, 0.4989], [0.0783, 0.0783, 0.7652], [0.2547, 0.2547, 0.2358], [0.6666, 0.6666, 0.0002]],
  "ef_ev_per_atom": 0.113,
  "de_polymorph_kj_per_mol_atoms": 0.0
}

---

# 4
{
  "formula": "La5Er2Tm2",
  "functional": "PBE",
  "state": "relaxed",
  "cell": [[-3.8508, -3.9184, 5.9771], [0.8638, 1.5511, -9.4585], [3.6570, -7.0023, 5.4484]],
  "species": ["La", "La", "La", "La", "La", "Er", "Er", "Tm", "Tm"],
  "frac_coords": [[0.3360, 0.6671, 0.3335], [0.6640, 0.3329, 0.6665], [0.1133, 0.2230, 0.4459], [0.8867, 0.7770, 0.5541], [0.0000, 0.0000, 0.0000], [0.4439, 0.8930, 0.7859], [0.5561, 0.1070, 0.2141], [0.2131, 0.4466, 0.8932], [0.7869, 0.5534, 0.1068]],
  "ef_ev_per_atom": 0.033,
  "de_polymorph_kj_per_mol_atoms": 0.0
}

---

# 5
{
  "formula": "PmMg2Al2Pt",
  "functional": "PBE",
  "state": "relaxed",
  "cell": [[-3.7034, -0.8387, -3.5009], [3.4168, -2.4004, -3.0394], [-1.0761, -3.2161, 5.7185]],
  "species": ["Pm", "Mg", "Mg", "Al", "Al", "Pt"],
  "frac_coords": [[0.5000, 0.5000, 0.0000], [0.2500, 0.7500, 0.5000], [0.7500, 0.2500, 0.5000], [0.7895, 0.7895, 0.5791], [0.2105, 0.2105, 0.4209], [0.0000, 0.0000, 0.0000]],
  "ef_ev_per_atom": 0.093
}

---

# 6
{
  "formula": "Mn2GeHN",
  "functional": "PBE",
  "state": "relaxed",
  "cell": [[-0.9714, -0.2161, 2.5465], [-0.7066, -2.4946, -0.4813], [11.5182, -4.0441, 4.0506]],
  "species": ["Mn", "Mn", "Mn", "Mn", "Ge", "Ge", "H", "H", "N", "N"],
  "frac_coords": [[0.5000, 0.0000, 0.2199], [0.5000, 0.5000, 0.7199], [0.0000, 0.0000, 0.0484], [0.0000, 0.5000, 0.5484], [0.5000, 0.0000, 0.4202], [0.5000, 0.5000, 0.9202], [0.0000, 0.0000, 0.3026], [0.0000, 0.5000, 0.8026], [0.0000, 0.0000, 0.6612], [0.0000, 0.5000, 0.1612]],
  "de_polymorph_kj_per_mol_atoms": 13.6
}

---

# 7
{
  "formula": "SrNd2Eu",
  "functional": "PBE",
  "state": "relaxed",
  "cell": [[-0.5008, -3.6455, -0.9040], [3.7470, -0.4220, -0.3741], [0.7558, -2.7500, 10.6712]],
  "species": ["Eu", "Sr", "Nd", "Nd"],
  "frac_coords": [[0.5000, 0.5000, 0.0000], [0.5000, 0.5000, 0.5000], [0.0000, 0.0000, 0.7650], [0.0000, 0.0000, 0.2350]],
  "ef_ev_per_atom": 0.136,
  "de_polymorph_kj_per_mol_atoms": 0.0
}

---

# 8
{
  "formula": "RbRhO3",
  "functional": "PBE",
  "state": "relaxed",
  "cell": [[-2.6237, 2.5820, 1.6605], [-2.9405, -1.4864, -2.3349], [-0.8817, -2.7261, 2.8459]],
  "species": ["Rh", "O", "O", "O", "Rb"],
  "frac_coords": [[0.5000, 0.5120, 0.5024], [0.0000, 0.5121, 0.5019], [0.5000, 0.0120, 0.5017], [0.5000, 0.5119, 0.0020], [0.0000, 0.0120, 0.0020]],
  "energy_ev_per_cell": -26.7
}

---

# 9
{
  "formula": "BaCo3Ge",
  "functional": "PBE",
  "state": "relaxed",
  "cell": [[-0.3361, -2.7493, -3.7273], [4.5833, 0.3405, -0.6644], [0.6666, -3.7269, 2.6889]],
  "species": ["Ge", "Co", "Co", "Co", "Ba"],
  "frac_coords": [[0.0000, 0.0000, 0.0000], [0.0000, 0.5000, 0.0000], [0.0000, 0.0000, 0.5000], [0.5000, 0.0000, 0.0000], [0.5000, 0.5000, 0.5000]],
  "ef_ev_per_atom": 0.504,
  "de_polymorph_kj_per_mol_atoms": 0.0
}

---

# 10
{
  "formula": "Hf3TlIr",
  "functional": "PBE",
  "state": "relaxed",
  "cell": [[-2.7027, -2.0394, 3.7359], [4.1697, -2.1567, 1.8392], [0.8541, 4.0755, 2.8427]],
  "species": ["Tl", "Ir", "Hf", "Hf", "Hf"],
  "frac_coords": [[0.5000, 0.5000, 0.5000], [0.0000, 0.0000, 0.0000], [0.0000, 0.5000, 0.0000], [0.0000, 0.0000, 0.5000], [0.5000, 0.0000, 0.0000]],
  "ef_ev_per_atom": 0.135,
  "de_polymorph_kj_per_mol_atoms": 0.0
}

---

# 11
{
  "formula": "PuMgS2",
  "functional": "PBE",
  "state": "relaxed",
  "cell": [[-0.1383, 2.7159, -2.7025], [-3.3159, 0.7920, -1.7538], [-2.4718, 5.5586, 2.9932]],
  "species": ["S", "S", "Mg", "Pu"],
  "frac_coords": [[0.7418, 0.7418, 0.7745], [0.2582, 0.2582, 0.2255], [0.0000, 0.0000, 0.0000], [0.5000, 0.5000, 0.5000]],
  "de_polymorph_kj_per_mol_atoms": 7.5
}

---

# 12
{
  "formula": "Tc2TeRh",
  "functional": "PBE",
  "state": "relaxed",
  "cell": [[-2.4974, 4.0440, 0.8504], [-3.0151, -0.8677, 3.6702], [4.7525, -0.7423, -0.4204]],
  "species": ["Rh", "Tc", "Tc", "Te"],
  "frac_coords": [[0.7500, 0.2500, 0.5000], [0.0000, 0.0000, 0.0000], [0.2500, 0.7500, 0.5000], [0.5000, 0.5000, 0.0000]],
  "energy_ev_per_cell": -30.3
}